Entry 1:
Na2RhPb6, optimized geometry, DFT PBE; ΔE_f = -0.101 eV per atom
1.0
3.725 0.000 0.000
0.000 7.746 4.433
0.000 -7.746 4.433
Na Rh Pb
2 1 6
direct
0.000 0.168 0.832
0.000 0.832 0.168
0.500 0.500 0.500
0.000 0.250 0.498
0.000 0.498 0.250
0.000 0.751 0.751
0.500 0.152 0.152
0.500 0.501 0.844
0.500 0.844 0.501

=====

Entry 2:
NaRh2Pb8, optimized geometry, DFT PBE; ΔE_f = 0.053 eV per atom
1.0
6.812 0.000 0.000
0.000 6.812 0.000
0.000 0.000 6.835
Na Rh Pb
1 2 8
direct
0.000 0.000 0.000
0.000 0.500 0.500
0.500 0.000 0.500
0.264 0.264 0.262
0.264 0.264 0.738
0.264 0.736 0.262
0.264 0.736 0.738
0.736 0.264 0.262
0.736 0.264 0.738
0.736 0.736 0.262
0.736 0.736 0.738

=====

Entry 3:
NaRhPb3, optimized geometry, DFT PBE; ΔE_f = -0.059 eV per atom
1.0
6.308 -7.217 0.000
6.308 7.217 0.000
-0.390 0.000 5.880
Na Rh Pb
4 4 12
direct
0.053 0.183 0.072
0.183 0.053 0.572
0.817 0.947 0.428
0.947 0.817 0.928
0.351 0.649 0.250
0.447 0.553 0.750
0.553 0.447 0.250
0.649 0.351 0.750
0.086 0.707 0.419
0.166 0.555 0.884
0.277 0.388 0.409
0.293 0.914 0.081
0.388 0.277 0.909
0.445 0.834 0.616
0.555 0.166 0.384
0.612 0.723 0.091
0.707 0.086 0.919
0.723 0.612 0.591
0.834 0.445 0.116
0.914 0.293 0.581

=====

Entry 4:
NaRhPb, optimized geometry, DFT PBE; ΔE_f = 0.082 eV per atom
1.0
6.524 0.000 0.000
0.000 6.524 0.000
0.000 0.000 6.524
Na Rh Pb
4 4 4
direct
0.000 0.000 0.000
0.000 0.500 0.500
0.500 0.000 0.500
0.500 0.500 0.000
0.250 0.250 0.250
0.250 0.750 0.750
0.750 0.250 0.750
0.750 0.750 0.250
0.000 0.000 0.500
0.000 0.500 0.000
0.500 0.000 0.000
0.500 0.500 0.500

=====

Entry 5:
Na3Rh2Pb4, optimized geometry, DFT PBE; ΔE_f = -0.099 eV per atom
1.0
5.692 -2.385 0.000
5.692 2.385 0.000
-1.113 0.000 8.824
Na Rh Pb
3 2 4
direct
0.000 0.000 0.000
0.395 0.395 0.307
0.605 0.605 0.693
0.285 0.285 0.605
0.715 0.715 0.395
0.101 0.101 0.382
0.289 0.289 0.905
0.711 0.711 0.095
0.899 0.899 0.618

=====

Entry 6:
NaRhPb3, optimized geometry, DFT PBE; ΔE_f = 0.075 eV per atom
1.0
5.376 0.000 0.000
0.000 5.376 0.000
0.000 0.000 5.376
Na Rh Pb
1 1 3
direct
0.000 0.000 0.000
0.500 0.500 0.500
0.000 0.500 0.500
0.500 0.000 0.500
0.500 0.500 0.000

=====

Entry 7:
NaRhPb, optimized geometry, DFT PBE; ΔE_f = -0.171 eV per atom
1.0
4.449 0.000 0.000
0.000 4.449 0.000
0.000 0.000 7.169
Na Rh Pb
2 2 2
direct
0.250 0.250 0.187
0.750 0.750 0.813
0.250 0.750 0.500
0.750 0.250 0.500
0.250 0.250 0.720
0.750 0.750 0.280

=====

Entry 8:
NaRhPb3, optimized geometry, DFT PBE; ΔE_f = -0.096 eV per atom
1.0
8.544 0.000 0.000
0.000 7.198 0.000
-4.882 0.000 8.677
Na Rh Pb
4 4 12
direct
0.090 0.208 0.053
0.090 0.292 0.553
0.910 0.708 0.447
0.910 0.792 0.947
0.443 0.188 0.028
0.443 0.312 0.528
0.557 0.688 0.472
0.557 0.812 0.972
0.193 0.549 0.295
0.193 0.951 0.795
0.270 0.523 0.929
0.270 0.977 0.429
0.433 0.633 0.687
0.433 0.867 0.187
0.567 0.133 0.813
0.567 0.367 0.313
0.730 0.023 0.571
0.730 0.477 0.071
0.807 0.049 0.205
0.807 0.451 0.705

=====

Entry 9:
NaRhPb2, optimized geometry, DFT PBE; ΔE_f = -0.121 eV per atom
1.0
3.457 0.000 0.000
0.000 3.457 0.000
0.000 0.000 7.944
Na Rh Pb
1 1 2
direct
0.000 0.000 0.000
0.000 0.000 0.500
0.500 0.500 0.296
0.500 0.500 0.704

=====

Entry 10:
NaRhPb, optimized geometry, DFT PBE; ΔE_f = 0.030 eV per atom
1.0
3.395 0.000 0.000
0.000 3.395 0.000
0.000 0.000 11.562
Na Rh Pb
2 2 2
direct
0.000 0.000 0.000
0.500 0.500 0.500
0.000 0.000 0.332
0.500 0.500 0.832
0.000 0.000 0.708
0.500 0.500 0.208

=====

Entry 11:
Na2RhPb6, optimized geometry, DFT PBE; ΔE_f = -0.004 eV per atom
1.0
7.635 -4.371 0.000
7.635 4.371 0.000
-1.259 0.000 4.215
Na Rh Pb
2 1 6
direct
0.133 0.133 0.124
0.867 0.867 0.876
0.500 0.500 0.500
0.150 0.517 0.335
0.298 0.702 0.000
0.483 0.850 0.665
0.517 0.150 0.335
0.702 0.298 0.000
0.850 0.483 0.665

=====

Entry 12:
NaRh2Pb2, optimized geometry, DFT PBE; ΔE_f = -0.001 eV per atom
1.0
3.165 -5.526 0.000
3.165 5.526 0.000
-3.151 0.000 7.189
Na Rh Pb
2 4 4
direct
0.125 0.875 0.750
0.875 0.125 0.250
0.266 0.517 0.034
0.483 0.734 0.466
0.517 0.266 0.534
0.734 0.483 0.966
0.177 0.823 0.250
0.428 0.572 0.750
0.572 0.428 0.250
0.823 0.177 0.750